1.
A plane-wave DFT calculation with PBE was carried out for a relaxed BeSbMo2 crystal.

Computed properties:
* ρ: 7.81 g/cm3
* total magnetic moment: 0.0 Bohr magnetons per cell
* energy: -6.88 eV/atom
* SG: I-42d (122)

Cell: 3.811 3.811 9.818 Å, 78.81 78.81 90.00°
Element x y z (fractional)
Mo  0.375  0.416  0.750
Be  0.500  0.500  0.000
Sb  0.000  0.000  0.000
Mo  0.584  0.125  0.250
Mo  0.166  0.625  0.250
Be  0.250  0.750  0.500
Mo  0.875  0.834  0.750
Sb  0.750  0.250  0.500

2.
A plane-wave DFT calculation with PBE was carried out for a relaxed Be2SbMo crystal.

Computed properties:
* ρ: 6.48 g/cm3
* total magnetic moment: 0.0 Bohr magnetons per cell
* energy: -4.87 eV/atom
* SG: I-42d (122)

Cell: 6.680 6.680 5.444 Å, 52.15 52.15 90.00°
Element x y z (fractional)
Be  0.375  0.381  0.750
Sb  0.000  0.000  0.000
Mo  0.250  0.750  0.500
Sb  0.750  0.250  0.500
Mo  0.500  0.500  0.000
Be  0.131  0.625  0.250
Be  0.875  0.869  0.750
Be  0.619  0.125  0.250

3.
A plane-wave DFT calculation with PBE was carried out for a relaxed BeSb2Mo crystal.

Computed properties:
* ρ: 7.79 g/cm3
* total magnetic moment: 0.6 Bohr magnetons per cell
* energy: -5.08 eV/atom
* SG: I4/mmm (139)

Cell: 4.877 4.877 4.877 Å, 125.44 125.44 80.82°
Site moments in Bohr magnetons follow the coordinates.
Element x y z (fractional)
Mo  0.750  0.250  0.500  0.52
Be  0.250  0.750  0.500  -0.01
Sb  0.000  0.000  0.000  0.01
Sb  0.500  0.500  0.000  0.01

4.
A plane-wave DFT calculation with PBE was carried out for a relaxed BeSbMo3 crystal.

Computed properties:
* polymorph energy (0 for the lowest one): 0 meV per atom
* ρ: 8.67 g/cm3
* total magnetic moment: 0.0 Bohr magnetons per cell
* energy: -7.42 eV/atom
* SG: Pm-3m (221)

Cell: 4.312 4.312 4.312 Å, 90.00 90.00 90.00°
Element x y z (fractional)
Mo  0.000  0.000  0.500
Be  0.000  0.000  0.000
Mo  0.500  0.000  0.000
Mo  0.000  0.500  0.000
Sb  0.500  0.500  0.500

5.
A plane-wave DFT calculation with PBE was carried out for a relaxed BeSb2Mo crystal.

Computed properties:
* ρ: 8.00 g/cm3
* total magnetic moment: 0.0 Bohr magnetons per cell
* energy: -5.26 eV/atom
* SG: Immm (71)

Cell: 5.053 5.053 5.053 Å, 137.72 121.35 74.92°
Element x y z (fractional)
Sb  0.966  0.966  0.000
Be  0.750  0.250  0.500
Sb  0.534  0.534  0.000
Mo  0.250  0.750  0.500

6.
A plane-wave DFT calculation with PBE was carried out for a relaxed Be2SbMo crystal.

Computed properties:
* ρ: 6.62 g/cm3
* total magnetic moment: 0.7 Bohr magnetons per cell
* energy: -4.85 eV/atom
* SG: F-43m (216)

Cell: 4.374 4.374 4.374 Å, 60.00 60.00 60.00°
Site moments in Bohr magnetons follow the coordinates.
Element x y z (fractional)
Mo  0.500  0.500  0.500  0.49
Sb  0.750  0.750  0.750  0.01
Be  0.000  0.000  0.000  0.00
Be  0.250  0.250  0.250  0.03

7.
A plane-wave DFT calculation with PBE was carried out for a relaxed BeSb2Mo crystal.

Computed properties:
* ρ: 7.05 g/cm3
* total magnetic moment: 0.0 Bohr magnetons per cell
* energy: -5.47 eV/atom
* SG: Imm2 (44)

Cell: 6.988 6.988 6.988 Å, 150.80 150.40 42.07°
Element x y z (fractional)
Sb  0.728  0.228  0.500
Be  0.450  0.450  0.000
Mo  0.327  0.827  0.500
Sb  0.996  0.996  0.000

8.
A plane-wave DFT calculation with PBE was carried out for a relaxed Be2SbMo crystal.

Computed properties:
* ρ: 6.27 g/cm3
* total magnetic moment: 0.0 Bohr magnetons per cell
* energy: -4.93 eV/atom
* SG: R-3m (166)

Cell: 8.141 8.141 8.141 Å, 21.31 21.31 21.31°
Element x y z (fractional)
Be  0.994  0.994  0.994
Sb  0.750  0.750  0.750
Be  0.506  0.506  0.506
Mo  0.250  0.250  0.250

9.
A plane-wave DFT calculation with PBE was carried out for a relaxed BeSbMo2 crystal.

Computed properties:
* ρ: 8.50 g/cm3
* total magnetic moment: 0.0 Bohr magnetons per cell
* energy: -6.93 eV/atom
* SG: Cmmm (65)

Cell: 4.274 4.274 3.490 Å, 90.00 90.00 81.27°
Element x y z (fractional)
Mo  0.000  0.000  0.000
Sb  0.500  0.000  0.500
Mo  0.500  0.500  0.000
Be  0.000  0.500  0.500

10.
A plane-wave DFT calculation with PBE was carried out for a relaxed BeSb2Mo crystal.

Computed properties:
* ρ: 7.64 g/cm3
* total magnetic moment: 0.0 Bohr magnetons per cell
* energy: -5.33 eV/atom
* SG: R-3m (166)

Cell: 7.564 7.564 7.564 Å, 26.45 26.45 26.45°
Element x y z (fractional)
Sb  0.995  0.995  0.995
Sb  0.505  0.505  0.505
Be  0.250  0.250  0.250
Mo  0.750  0.750  0.750

11.
A plane-wave DFT calculation with PBE was carried out for a relaxed BeSb2Mo crystal.

Computed properties:
* ρ: 7.55 g/cm3
* total magnetic moment: 0.0 Bohr magnetons per cell
* energy: -4.99 eV/atom
* SG: Pmmm (47)

Cell: 3.648 5.212 4.028 Å, 90.00 90.00 90.00°
Element x y z (fractional)
Mo  0.000  0.500  0.500
Sb  0.000  0.000  0.000
Be  0.500  0.000  0.500
Sb  0.500  0.500  0.000

12.
A plane-wave DFT calculation with PBE was carried out for a relaxed Be2SbMo crystal.

Computed properties:
* ρ: 6.62 g/cm3
* total magnetic moment: 0.0 Bohr magnetons per cell
* energy: -5.23 eV/atom
* SG: C2/m (12)

Cell: 4.630 4.630 4.260 Å, 72.93 72.93 42.99°
Element x y z (fractional)
Mo  0.750  0.750  0.750
Sb  0.250  0.250  0.250
Be  0.479  0.479  0.616
Be  0.021  0.021  0.884